LiMo3O8: relaxed, PBE+U.

Lattice parameters (Å, degrees): 6.0563 6.0563 6.0563 61.51 61.51 61.51
Fractional coordinates of all 12 atoms:
1 Li 0.0000 0.0000 0.0000
2 Mo 0.1196 0.6150 0.6150
3 Mo 0.6150 0.1196 0.6150
4 Mo 0.6150 0.6150 0.1196
5 O 0.3637 0.3637 0.8179
6 O 0.3637 0.8179 0.3637
7 O 0.3738 0.3738 0.3738
8 O 0.4047 0.8735 0.8735
9 O 0.8179 0.3637 0.3637
10 O 0.8599 0.8599 0.8599
11 O 0.8735 0.4047 0.8735
12 O 0.8735 0.8735 0.4047

Raw total energy (eV for the cell shown): -81.13
Energy relative to the lowest polymorph listed for this composition (eV per formula unit): 2.193
Crystal system: trigonal